No. 1
VASP calculation (GGA-PBE) on a geometry-optimized SmMg2Hg structure.

It has space group R-3m (No. 166, hexagonal axes), with a = 3.2985 Å, b = 3.2985 Å, c = 33.8078 Å, α = 90.00°, β = 90.00° and γ = 120.00°. The asymmetric unit holds Sm at (0.0000, 0.0000, 0.0000), Mg at (0.0000, 0.0000, 0.0967) and Hg at (0.0000, 0.0000, 0.5000).

For the energy relative to the lowest polymorph listed for this composition, the calculation gives 1.58 eV per formula unit. For the energy of formation, the calculation gives 109 meV/atom.

=====

No. 2
VASP calculation (GGA-PBE) on a geometry-optimized Be2Fe2Ni structure.

It has space group P4/mbm (No. 127), with a = 5.6307 Å, b = 5.6307 Å, c = 3.0287 Å, α = 90.00°, β = 90.00° and γ = 90.00°. The asymmetric unit holds Be at (0.1304, 0.3696, 0.0000), Fe at (0.1674, 0.6674, 0.5000) and Ni at (0.0000, 0.0000, 0.0000).

For the energy relative to the lowest polymorph listed for this composition, the calculation gives 0.00 eV per formula unit. For the energy of formation, the calculation gives -114 meV/atom.

=====

No. 3
VASP calculation (GGA-PBE) on a geometry-optimized AcTl2Se3 structure.

It has space group Cmcm (No. 63), with a = 8.9649 Å, b = 14.9117 Å, c = 5.8176 Å, α = 90.00°, β = 90.00° and γ = 90.00°. The asymmetric unit holds Ac at (0.0000, 0.2394, 0.2500), Tl at (0.2299, 0.5000, 0.0000), Se at (0.0000, 0.3767, 0.7500) and Se at (0.1861, 0.1790, 0.7500).

The calculation puts the energy relative to the elements, uncorrected at -64.0 kJ per mole of atoms.

=====

No. 4
VASP calculation (GGA-PBE) on a geometry-optimized Zr4Hg3Pb2 structure.

It has space group C2/m (No. 12), with a = 9.6256 Å, b = 4.3938 Å, c = 9.9266 Å, α = 90.00°, β = 100.91° and γ = 90.00°. The asymmetric unit holds Zr at (0.0082, 0.0000, 0.1689), Zr at (0.1714, 0.5000, 0.3857), Hg at (0.0000, 0.0000, 0.5000), Hg at (0.1646, 0.5000, 0.0505) and Pb at (0.1568, 0.5000, 0.7127).

For the energy of formation, the calculation gives -100 meV/atom.

=====

No. 5
VASP calculation (GGA-PBE) on a geometry-optimized In2OsCl structure.

It has space group P4mm (No. 99), with a = 3.1914 Å, b = 3.1914 Å, c = 8.4100 Å, α = 90.00°, β = 90.00° and γ = 90.00°. The asymmetric unit holds In at (0.0000, 0.0000, 0.0000), In at (0.5000, 0.5000, 0.2997), Os at (0.0000, 0.0000, 0.4912) and Cl at (0.5000, 0.5000, 0.6981).

For the energy relative to the lowest polymorph listed for this composition, the calculation gives 2.21 eV per formula unit. The calculation puts the energy relative to the elements, uncorrected at 55.6 kJ per mole of atoms.

=====

No. 6
VASP calculation (GGA-PBE) on a geometry-optimized TbNdZnAu structure.

It has space group P4mm (No. 99), with a = 3.6677 Å, b = 3.6677 Å, c = 7.2202 Å, α = 90.00°, β = 90.00° and γ = 90.00°. The asymmetric unit holds Tb at (0.0000, 0.0000, 0.0000), Nd at (0.0000, 0.0000, 0.5045), Zn at (0.5000, 0.5000, 0.7640) and Au at (0.5000, 0.5000, 0.2304).

For the energy relative to the lowest polymorph listed for this composition, the calculation gives 0.00 eV per formula unit. For the energy of formation, the calculation gives -569 meV/atom.

=====

Number 1 is which compound?
SmMg2Hg